1.
Np2TcOs: relaxed, GGA-PBE.

Values from the calculation:
Excess energy over the best structure of this formula in the dataset: 381 meV/atom

Lattice parameters (Å, degrees): 2.9174 2.9174 29.2301 90.00 90.00 120.00
Space group R-3m (No. 166, hexagonal axes)
Symmetry-distinct sites (fractional):
1 Np 0.0000 0.0000 0.0877
2 Tc 0.0000 0.0000 0.5000
3 Os 0.0000 0.0000 0.0000

***

2.
TmNpTcOs: relaxed, GGA-PBE.

Lattice parameters (Å, degrees): 6.7305 6.7305 6.7305 90.00 90.00 90.00
Space group F-43m (No. 216)
Symmetry-distinct sites (fractional):
1 Tm 0.0000 0.0000 0.0000
2 Np 0.0000 0.0000 0.5000
3 Tc 0.2500 0.2500 0.7500
4 Os 0.2500 0.2500 0.2500

***

3.
ZrNpTcOs: relaxed, GGA-PBE.

Lattice parameters (Å, degrees): 6.6623 6.6623 6.6623 90.00 90.00 90.00
Space group F-43m (No. 216)
Symmetry-distinct sites (fractional):
1 Zr 0.0000 0.0000 0.0000
2 Np 0.0000 0.0000 0.5000
3 Tc 0.2500 0.2500 0.7500
4 Os 0.2500 0.2500 0.2500

***

4.
Th3NpOs8: relaxed, GGA-PBE.

Lattice parameters (Å, degrees): 5.4233 5.4233 26.6714 90.00 90.00 120.00
Space group R3m (No. 160, hexagonal axes)
Symmetry-distinct sites (fractional):
1 Th 0.0000 0.0000 0.0000
2 Th 0.0000 0.0000 0.1261
3 Th 0.0000 0.0000 0.6241
4 Np 0.0000 0.0000 0.5008
5 Os 0.0000 0.0000 0.3124
6 Os 0.0000 0.0000 0.8127
7 Os 0.9998 0.4999 0.5614
8 Os 0.0031 0.5016 0.0638

***

5.
ThNp2Os9: relaxed, GGA-PBE.

Lattice parameters (Å, degrees): 5.2886 5.2886 26.5273 90.00 90.00 120.00
Space group R-3m (No. 166, hexagonal axes)
Symmetry-distinct sites (fractional):
1 Th 0.0000 0.0000 0.0000
2 Np 0.0000 0.0000 0.1415
3 Os 0.0000 0.0000 0.3376
4 Os 0.0000 0.0000 0.5000
5 Os 0.0070 0.5035 0.9164

***

6.
ThNp2Os: relaxed, GGA-PBE.

Lattice parameters (Å, degrees): 4.7740 4.7740 13.5465 90.00 90.00 120.00
Space group R-3m (No. 166, hexagonal axes)
Symmetry-distinct sites (fractional):
1 Th 0.0000 0.0000 0.0000
2 Np 0.0000 0.0000 0.2384
3 Os 0.0000 0.0000 0.5000

***

7.
NpTiOs4: relaxed, GGA-PBE.

Lattice parameters (Å, degrees): 7.4156 7.4156 7.4156 90.00 90.00 90.00
Space group F-43m (No. 216)
Symmetry-distinct sites (fractional):
1 Np 0.0000 0.0000 0.0000
2 Ti 0.2500 0.2500 0.2500
3 Os 0.1245 0.1245 0.6245

***

8.
NpTiVOs: relaxed, GGA-PBE.

Lattice parameters (Å, degrees): 6.3444 6.3444 6.3444 90.00 90.00 90.00
Space group F-43m (No. 216)
Symmetry-distinct sites (fractional):
1 Np 0.0000 0.0000 0.0000
2 Ti 0.2500 0.2500 0.2500
3 V 0.2500 0.2500 0.7500
4 Os 0.0000 0.0000 0.5000

***

| no. | E_tot (eV/atom) | calculated formation energy (eV per atom) | magnetization (μB/f.u.) |
| --- | --- | --- | --- |
| 1 | -11.314 | 0.55 | 4.2 |
| 2 | -9.767 | -0.01 | 2.8 |
| 3 | -10.889 | -0.12 | 3.0 |
| 4 | -10.591 | -0.17 | 3.4 |
| 5 | -11.141 | 0.06 | 5.8 |
| 6 | -10.722 | 0.41 | 8.0 |
| 7 | -10.960 | 0.00 | 3.4 |
| 8 | -10.194 | 0.10 | 2.8 |